Computed, not measured: a relaxed structure of Te2Ru at the GGA-PBE level of DFT.

Cell lengths 3.232, 3.232, 29.337 Å; angles 90.00, 90.00, 90.00 degrees
Fractional coordinates of all 12 atoms:
Te: 0.000 0.250 0.318
Te: 0.000 0.250 0.432
Te: 0.000 0.750 0.568
Te: 0.000 0.750 0.682
Te: 0.500 0.250 0.068
Te: 0.500 0.250 0.182
Te: 0.500 0.750 0.818
Te: 0.500 0.750 0.932
Ru: 0.000 0.250 0.875
Ru: 0.000 0.750 0.125
Ru: 0.500 0.250 0.625
Ru: 0.500 0.750 0.375

Values from the calculation:
Magnetization = 1.04 Bohr magnetons per cell
Raw total energy = -15.276 eV/f.u.
ΔE_f (raw) = 0.095 eV per atom
Space group = I4_1/amd
N(E_F) = 2.71 states/eV/f.u.



Computed, not measured: a relaxed structure of Sr2CaSn2 at the GGA-PBE level of DFT.

Cell lengths 7.143, 7.143, 12.134 Å; angles 117.61, 117.61, 42.01 degrees
Fractional coordinates of all 10 atoms:
Sr: 0.018 0.018 0.181
Sr: 0.181 0.181 0.595
Sr: 0.819 0.819 0.405
Sr: 0.982 0.982 0.819
Ca: 0.288 0.288 0.134
Ca: 0.712 0.712 0.866
Sn: 0.370 0.370 0.924
Sn: 0.469 0.469 0.606
Sn: 0.531 0.531 0.394
Sn: 0.630 0.630 0.076

Values from the calculation:
Energy of formation = -3.03 eV per formula unit
Magnetization = 0.00 Bohr magnetons per cell
Raw total energy = -16.396 eV/f.u.
Space group = C2/m
N(E_F) = 1.40 states/eV/f.u.



Computed, not measured: a relaxed structure of Cu3TcHg at the GGA-PBE level of DFT.

Cell lengths 4.706, 4.706, 4.706 Å; angles 90.00, 90.00, 90.00 degrees
Fractional coordinates of all 5 atoms:
Cu: 0.000 0.000 0.500
Cu: 0.000 0.500 0.000
Cu: 0.500 0.000 0.000
Tc: 0.000 0.000 0.000
Hg: 0.500 0.500 0.500

Values from the calculation:
Energy of formation = 6.55 eV per formula unit
Magnetization = 2.05 Bohr magnetons per cell
Raw total energy = -16.403 eV/f.u.
Space group = Pm-3m
N(E_F) = 4.23 states/eV/f.u.



Computed, not measured: a relaxed structure of Fe2AuCl at the GGA-PBE level of DFT.

Cell lengths 3.172, 4.833, 8.734 Å; angles 90.00, 90.00, 90.00 degrees
Fractional coordinates of all 8 atoms:
Fe: 0.000 0.000 0.000
Fe: 0.000 0.500 0.207
Fe: 0.500 0.000 0.207
Fe: 0.500 0.500 0.000
Au: 0.000 0.500 0.757
Au: 0.500 0.000 0.757
Cl: 0.000 0.000 0.407
Cl: 0.500 0.500 0.407

Values from the calculation:
Magnetization = 12.04 Bohr magnetons per cell
Raw total energy = -21.371 eV/f.u.
ΔE_f (raw) = 0.170 eV per atom
Space group = Cmm2
N(E_F) = 3.49 states/eV/f.u.



Q: Which of these has the highest magnetization?
A: Fe2AuCl